Entry 1:
DFT (PBE-GGA) results for crystalline Ba3NdRu2O9 at its relaxed geometry.

Summary:
formation energy without anion corrections = -2152 meV/atom
Fermi-level density of states = 5.0 states/eV/f.u.
raw total energy = -211.97 eV for the cell shown
M_tot = 5.967 μB per cell

Lattice parameters (Å, degrees): 6.0092 6.0092 14.9133 90.00 90.00 120.00
With the nearest neighbours (Å) after each atom.
Fractional positions:
Ba 0.0000 0.0000 0.2500  12 O 2.99-3.01
Ba 0.0000 0.0000 0.7500  12 O 2.99-3.01
Ba 0.3333 0.6667 0.1029  9 O 2.86-3.01
Ba 0.3333 0.6667 0.3971  9 O 2.86-3.01
Ba 0.6667 0.3333 0.6029  9 O 2.86-3.01
Ba 0.6667 0.3333 0.8971  9 O 2.86-3.01
Nd 0.0000 0.0000 0.0000  6 O 2.31
Nd 0.0000 0.0000 0.5000  6 O 2.31
Ru 0.3333 0.6667 0.6665  6 O 1.95-2.06
Ru 0.3333 0.6667 0.8335  6 O 1.95-2.06
Ru 0.6667 0.3333 0.1665  6 O 1.95-2.06
Ru 0.6667 0.3333 0.3335  6 O 1.95-2.06
O 0.0178 0.5089 0.7500  2 Ru 2.06
O 0.1782 0.3563 0.5927  1 Ru 1.95
O 0.1782 0.3563 0.9073  1 Ru 1.95
O 0.1782 0.8218 0.5927  1 Ru 1.95
O 0.1782 0.8218 0.9073  1 Ru 1.95
O 0.3563 0.1782 0.0927  1 Ru 1.95
O 0.3563 0.1782 0.4073  1 Ru 1.95
O 0.4911 0.5089 0.7500  2 Ru 2.06
O 0.4911 0.9822 0.7500  2 Ru 2.06
O 0.5089 0.0178 0.2500  2 Ru 2.06
O 0.5089 0.4911 0.2500  2 Ru 2.06
O 0.6437 0.8218 0.5927  1 Ru 1.95
O 0.6437 0.8218 0.9073  1 Ru 1.95
O 0.8218 0.1782 0.0927  1 Ru 1.95
O 0.8218 0.1782 0.4073  1 Ru 1.95
O 0.8218 0.6437 0.0927  1 Ru 1.95
O 0.8218 0.6437 0.4073  1 Ru 1.95
O 0.9822 0.4911 0.2500  2 Ru 2.06

Entry 2:
DFT (PBE-GGA) results for crystalline BaNdRu2O8 at its relaxed geometry.

Summary:
formation energy without anion corrections = -1640 meV/atom
Fermi-level density of states = 6.0 states/eV/f.u.
raw total energy = -84.58 eV for the cell shown
M_tot = 3.013 μB per cell

Lattice parameters (Å, degrees): 5.9618 5.9618 7.7862 90.00 90.00 120.00
With the nearest neighbours (Å) after each atom.
Fractional positions:
Ba 0.0000 0.0000 0.0000  6 O 2.86
Nd 0.0000 0.0000 0.5000  6 O 2.35
Ru 0.3333 0.6667 0.7820  4 O 1.78-1.83
Ru 0.6667 0.3333 0.2180  4 O 1.78-1.83
O 0.1660 0.3319 0.7061  1 Ru 1.83
O 0.1660 0.8340 0.7061  1 Ru 1.83
O 0.3319 0.1660 0.2939  1 Ru 1.83
O 0.3333 0.6667 0.0106  1 Ru 1.78
O 0.6667 0.3333 0.9894  1 Ru 1.78
O 0.6681 0.8340 0.7061  1 Ru 1.83
O 0.8340 0.1660 0.2939  1 Ru 1.83
O 0.8340 0.6681 0.2939  1 Ru 1.83

Entry 3:
DFT (PBE-GGA) results for crystalline Ba3NdRu2O9 at its relaxed geometry.

Summary:
formation energy without anion corrections = -2134 meV/atom
Fermi-level density of states = 5.7 states/eV/f.u.
raw total energy = -105.72 eV for the cell shown
M_tot = 5.077 μB per cell

Lattice parameters (Å, degrees): 5.9380 5.9380 7.4016 90.00 90.00 120.00
With the nearest neighbours (Å) after each atom.
Fractional positions:
Ba 0.0000 0.0000 0.0000  12 O 2.95-2.97
Ba 0.3333 0.6667 0.6887  12 O 2.87-3.21
Ba 0.6667 0.3333 0.3113  12 O 2.87-3.21
Nd 0.0000 0.0000 0.5000  6 O 2.31
Ru 0.3333 0.6667 0.1590  6 O 1.95-2.08
Ru 0.6667 0.3333 0.8410  6 O 1.95-2.08
O 0.0000 0.5000 0.0000  2 Ru 2.08
O 0.1785 0.3570 0.3114  1 Ru 1.95
O 0.1785 0.8215 0.3114  1 Ru 1.95
O 0.3570 0.1785 0.6886  1 Ru 1.95
O 0.5000 0.0000 0.0000  2 Ru 2.08
O 0.5000 0.5000 0.0000  2 Ru 2.08
O 0.6430 0.8215 0.3114  1 Ru 1.95
O 0.8215 0.1785 0.6886  1 Ru 1.95
O 0.8215 0.6430 0.6886  1 Ru 1.95

Entry 4:
DFT (PBE-GGA) results for crystalline BaNdRuO6 at its relaxed geometry.

Summary:
formation energy without anion corrections = -1874 meV/atom
Fermi-level density of states = 5.3 states/eV/f.u.
raw total energy = -62.58 eV for the cell shown
M_tot = 1.039 μB per cell

Lattice parameters (Å, degrees): 5.7425 5.7425 5.5722 90.00 90.00 120.00
With the nearest neighbours (Å) after each atom.
Fractional positions:
Ba 0.0000 0.0000 0.0000  6 O 2.73
Nd 0.3333 0.6667 0.5000  6 O 2.34
Ru 0.6667 0.3333 0.5000  6 O 1.92
O 0.3988 0.0540 0.6976  1 Ru 1.92
O 0.3988 0.3448 0.3024  1 Ru 1.92
O 0.6552 0.0540 0.3024  1 Ru 1.92
O 0.6552 0.6012 0.6976  1 Ru 1.92
O 0.9460 0.3448 0.6976  1 Ru 1.92
O 0.9460 0.6012 0.3024  1 Ru 1.92

Entry 5:
DFT (PBE-GGA) results for crystalline Ba3NdSb2O9 at its relaxed geometry.

Summary:
formation energy without anion corrections = -2367 meV/atom
Fermi-level density of states = 2.7 states/eV/f.u.
raw total energy = -98.91 eV for the cell shown
M_tot = 0.000 μB per cell

Lattice parameters (Å, degrees): 6.1136 6.1136 7.5018 90.00 90.00 120.00
With the nearest neighbours (Å) after each atom.
Fractional positions:
Ba 0.0000 0.0000 0.0000  12 O 3.03-3.06
Ba 0.3333 0.6667 0.6799  12 O 2.98-3.18
Ba 0.6667 0.3333 0.3201  12 O 2.98-3.18
Nd 0.0000 0.0000 0.5000  6 O 2.32
Sb 0.3333 0.6667 0.1649  6 O 2.02-2.16
Sb 0.6667 0.3333 0.8351  6 O 2.02-2.16
O 0.0000 0.5000 0.0000  2 Sb 2.16
O 0.1767 0.3534 0.3178  1 Sb 2.02
O 0.1767 0.8233 0.3178  1 Sb 2.02
O 0.3534 0.1767 0.6822  1 Sb 2.02
O 0.5000 0.0000 0.0000  2 Sb 2.16
O 0.5000 0.5000 0.0000  2 Sb 2.16
O 0.6466 0.8233 0.3178  1 Sb 2.02
O 0.8233 0.1767 0.6822  1 Sb 2.02
O 0.8233 0.6466 0.6822  1 Sb 2.02

Entry 6:
DFT (PBE-GGA) results for crystalline Ba2NdScO5 at its relaxed geometry.

Summary:
formation energy without anion corrections = -3013 meV/atom
Fermi-level density of states = 0.0 states/eV/f.u.
raw total energy = -133.70 eV for the cell shown
M_tot = 0.000 μB per cell

Lattice parameters (Å, degrees): 7.3618 7.3618 12.2553 90.00 90.00 150.66
With the nearest neighbours (Å) after each atom.
Fractional positions:
Ba 0.0883 0.9117 0.5000  6 O 2.64-2.92
Ba 0.1531 0.8469 0.1401  7 O 2.72-2.93
Ba 0.8469 0.1531 0.6401  7 O 2.72-2.93
Ba 0.9117 0.0883 0.0000  6 O 2.64-2.92
Nd 0.2131 0.7869 0.8573  6 O 2.36-2.46
Nd 0.7869 0.2131 0.3573  6 O 2.36-2.46
Sc 0.4737 0.5263 0.2706  4 O 1.97-2.18
Sc 0.5263 0.4737 0.7706  4 O 1.97-2.18
O 0.0437 0.9563 0.8416  2 Sc 2.07
O 0.2733 0.7267 0.4868  2 Nd 2.46, 1 Ba 2.64
O 0.3224 0.6776 0.2418  1 Sc 2.18, 2 Nd 2.40
O 0.3762 0.6238 0.8212  1 Sc 2.23, 1 Nd 2.36
O 0.4904 0.5096 0.6151  1 Sc 1.97
O 0.5096 0.4904 0.1151  1 Sc 1.97
O 0.6238 0.3762 0.3212  1 Sc 2.23, 1 Nd 2.36
O 0.6776 0.3224 0.7418  1 Sc 2.18, 2 Nd 2.40
O 0.7267 0.2733 0.9868  2 Nd 2.46, 1 Ba 2.64
O 0.9563 0.0437 0.3416  2 Sc 2.07

Entry 7:
DFT (PBE-GGA) results for crystalline BaNd2ScO5 at its relaxed geometry.

Summary:
formation energy without anion corrections = -3106 meV/atom
Fermi-level density of states = 1.9 states/eV/f.u.
raw total energy = -70.53 eV for the cell shown
M_tot = 0.000 μB per cell

Lattice parameters (Å, degrees): 6.9233 6.9233 6.9233 146.32 128.47 62.98
With the nearest neighbours (Å) after each atom.
Fractional positions:
Ba 0.0000 0.0000 0.0000  10 O 3.01-3.05
Nd 0.2864 0.7864 0.5000  7 O 2.36-2.60
Nd 0.7136 0.2136 0.5000  7 O 2.36-2.60
Sc 0.5000 0.5000 0.0000  6 O 2.01-2.17
O 0.1264 0.3605 0.7660  1 Sc 2.17, 1 Nd 2.36
O 0.4055 0.6395 0.7660  1 Sc 2.17, 1 Nd 2.36
O 0.5000 0.0000 0.5000  2 Sc 2.01
O 0.5945 0.3605 0.2340  1 Sc 2.17, 1 Nd 2.36
O 0.8736 0.6395 0.2340  1 Sc 2.17, 1 Nd 2.36

Entry 8:
DFT (PBE-GGA) results for crystalline BaNdSi2O6 at its relaxed geometry.

Summary:
formation energy without anion corrections = -2740 meV/atom
Fermi-level density of states = 1.2 states/eV/f.u.
raw total energy = -149.38 eV for the cell shown
M_tot = 0.000 μB per cell

Lattice parameters (Å, degrees): 7.1935 7.1935 6.1770 101.33 101.33 90.04
With the nearest neighbours (Å) after each atom.
Fractional positions:
Ba 0.1804 0.8196 0.7500  8 O 2.81-2.99
Ba 0.8196 0.1804 0.2500  8 O 2.81-2.99
Nd 0.3884 0.6116 0.2500  6 O 2.33-2.50
Nd 0.6116 0.3884 0.7500  6 O 2.33-2.50
Si 0.1394 0.2873 0.7791  4 O 1.64-1.79
Si 0.2873 0.1394 0.2791  4 O 1.64-1.79
Si 0.7127 0.8606 0.7209  4 O 1.64-1.79
Si 0.8606 0.7127 0.2209  4 O 1.64-1.79
O 0.0749 0.6384 0.2956  1 Si 1.64
O 0.1519 0.1896 0.0268  2 Si 1.77-1.79
O 0.1896 0.1519 0.5268  2 Si 1.77-1.79
O 0.3004 0.4671 0.8603  1 Si 1.67
O 0.3616 0.9251 0.2044  1 Si 1.64
O 0.4671 0.3004 0.3603  1 Si 1.67
O 0.5329 0.6996 0.6397  1 Si 1.67
O 0.6384 0.0749 0.7956  1 Si 1.64
O 0.6996 0.5329 0.1397  1 Si 1.67
O 0.8104 0.8481 0.4732  2 Si 1.77-1.79
O 0.8481 0.8104 0.9732  2 Si 1.77-1.79
O 0.9251 0.3616 0.7044  1 Si 1.64